No. 1
VASP calculation (PBE) on crystalline CeNi2Sb2 at its relaxed geometry.

Cell: 4.6193 4.6193 9.4809 Å, 90.00 90.00 90.00°
With the nearest neighbours (Å) after each atom.
Space group I4/mmm (No. 139)
Inequivalent atoms, fractional coordinates:
Ce1 0.0000 0.0000 0.0000 (multiplicity 2)  8 Sb 3.31, 10 Ni 3.49-3.52
Ni1 0.0000 0.0000 0.3710 (multiplicity 4)  1 Ni 2.45, 4 Sb 2.58
Sb1 0.0000 0.5000 0.2500 (multiplicity 4)  4 Ni 2.58

Calculated volume   202.3 Å³/cell
DOS(E_F)   14.4 states/eV/cell
Formation energy (no corrections)   -2.28 eV per formula unit
Magnetic moment   1.40 Bohr magnetons per cell

***

No. 2
VASP calculation (PBE) on crystalline LaSiIr2 at its relaxed geometry.

Cell: 7.1643 4.1239 5.8746 Å, 90.00 113.64 90.00°
With the nearest neighbours (Å) after each atom.
Space group C2/m (No. 12)
Inequivalent atoms, fractional coordinates:
La1 0.0000 0.0000 0.0000 (multiplicity 2)  8 Ir 3.11-3.36
Si1 0.0000 0.5000 0.5000 (multiplicity 2)  6 Ir 2.48
Ir1 0.2078 0.0000 0.6250 (multiplicity 4)  3 Si 2.48, 3 Ir 2.74

Calculated volume   159.0 Å³/cell
DOS(E_F)   3.6 states/eV/cell
Formation energy (no corrections)   -2.84 eV per formula unit
Magnetic moment   0.00 Bohr magnetons per cell